No. 1
## Li6B4O9 (SCAN)

Data for a crystal of Li6B4O9 relaxed with PBEsol.

Magnetization = 0.0 Bohr magnetons per cell
SG = P2_1/c (14)
Energy relative to the elements, uncorrected = -58.591 kcal/mol of atoms
Density of states at the Fermi level = 0.000 states/eV per cell
Calculated volume = 704.2 Å³ per cell

a = 3.2966 Å, b = 23.3374 Å, c = 9.5685 Å
α = 90.00°, β = 106.94°, γ = 90.00°
Last column: nearest neighbours and their distance in Å.
Fractional positions:
Li  0.1269  0.0569  0.4579  4 O 1.92-1.99
Li  0.1269  0.4431  0.9579  4 O 1.92-1.99
Li  0.1323  0.7073  0.3064  4 O 1.88-1.96
Li  0.1323  0.7927  0.8064  4 O 1.88-1.96
Li  0.2478  0.5423  0.4898  4 O 1.93-1.98
Li  0.2478  0.9577  0.9898  4 O 1.93-1.98
Li  0.3016  0.2034  0.6460  4 O 1.92-1.95
Li  0.3016  0.2966  0.1460  4 O 1.92-1.95
Li  0.3549  0.6429  0.0246  5 O 2.00-2.18
Li  0.3549  0.8571  0.5246  5 O 2.00-2.18
Li  0.3637  0.1217  0.1824  3 O 1.94-1.98
Li  0.3637  0.3783  0.6824  3 O 1.94-1.98
Li  0.6363  0.6217  0.3176  3 O 1.94-1.98
Li  0.6363  0.8783  0.8176  3 O 1.94-1.98
Li  0.6451  0.1429  0.4754  5 O 2.00-2.18
Li  0.6451  0.3571  0.9754  5 O 2.00-2.18
Li  0.6984  0.7034  0.8540  4 O 1.92-1.95
Li  0.6984  0.7966  0.3540  4 O 1.92-1.95
Li  0.7522  0.0423  0.0102  4 O 1.93-1.98
Li  0.7522  0.4577  0.5102  4 O 1.93-1.98
Li  0.8677  0.2073  0.1936  4 O 1.88-1.96
Li  0.8677  0.2927  0.6936  4 O 1.88-1.96
Li  0.8731  0.5569  0.0421  4 O 1.92-1.99
Li  0.8731  0.9431  0.5421  4 O 1.92-1.99
B  0.3648  0.0857  0.7014  3 O 1.34-1.41
B  0.3648  0.4143  0.2014  3 O 1.34-1.41
B  0.3789  0.6481  0.5664  3 O 1.34-1.41
B  0.3789  0.8519  0.0664  3 O 1.34-1.41
B  0.4256  0.7425  0.0864  3 O 1.36-1.44
B  0.4256  0.7575  0.5864  3 O 1.36-1.44
B  0.4957  0.5237  0.2383  3 O 1.34-1.44
B  0.4957  0.9763  0.7383  3 O 1.34-1.44
B  0.5043  0.0237  0.2617  3 O 1.34-1.44
B  0.5043  0.4763  0.7617  3 O 1.34-1.44
B  0.5744  0.2425  0.4136  3 O 1.36-1.44
B  0.5744  0.2575  0.9136  3 O 1.36-1.44
B  0.6211  0.1481  0.9336  3 O 1.34-1.41
B  0.6211  0.3519  0.4336  3 O 1.34-1.41
B  0.6352  0.5857  0.7986  3 O 1.34-1.41
B  0.6352  0.9143  0.2986  3 O 1.34-1.41
O  0.2185  0.6408  0.4225  1 B 1.34
O  0.2185  0.8592  0.9225  1 B 1.34
O  0.2402  0.1238  0.5920  1 B 1.34
O  0.2402  0.3762  0.0920  1 B 1.34
O  0.2706  0.7307  0.9419  1 B 1.36
O  0.2706  0.7693  0.4419  1 B 1.36
O  0.3115  0.0275  0.6620  2 B 1.41-1.44
O  0.3115  0.4725  0.1620  2 B 1.41-1.44
O  0.3368  0.0263  0.1160  1 B 1.34
O  0.3368  0.4737  0.6160  1 B 1.34
O  0.4512  0.5978  0.6519  2 B 1.39-1.41
O  0.4512  0.9022  0.1519  2 B 1.39-1.41
O  0.4632  0.2011  0.3081  1 B 1.37
O  0.4632  0.2989  0.8081  1 B 1.37
O  0.4655  0.5699  0.1467  1 B 1.37
O  0.4655  0.9301  0.6467  1 B 1.37
O  0.4853  0.6998  0.6412  2 B 1.39-1.44
O  0.4853  0.8002  0.1412  2 B 1.39-1.44
O  0.5147  0.1998  0.8588  2 B 1.39-1.44
O  0.5147  0.3002  0.3588  2 B 1.39-1.44
O  0.5345  0.0699  0.3533  1 B 1.37
O  0.5345  0.4301  0.8533  1 B 1.37
O  0.5368  0.7011  0.1919  1 B 1.37
O  0.5368  0.7989  0.6919  1 B 1.37
O  0.5488  0.0978  0.8481  2 B 1.39-1.41
O  0.5488  0.4022  0.3481  2 B 1.39-1.41
O  0.6632  0.5263  0.3840  1 B 1.34
O  0.6632  0.9737  0.8840  1 B 1.34
O  0.6885  0.5275  0.8380  2 B 1.41-1.44
O  0.6885  0.9725  0.3380  2 B 1.41-1.44
O  0.7294  0.2307  0.5581  1 B 1.36
O  0.7294  0.2693  0.0581  1 B 1.36
O  0.7598  0.6238  0.9080  1 B 1.34
O  0.7598  0.8762  0.4080  1 B 1.34
O  0.7815  0.1408  0.0775  1 B 1.34
O  0.7815  0.3592  0.5775  1 B 1.34



No. 2
## LiB3O5 (SCAN)

Data for a crystal of LiB3O5 relaxed with PBEsol.

Magnetization = 0.0 Bohr magnetons per cell
SG = Pna2_1 (33)
Energy relative to the elements, uncorrected = -60.586 kcal/mol of atoms
Density of states at the Fermi level = 0.000 states/eV per cell
Calculated volume = 320.7 Å³ per cell

a = 8.3523 Å, b = 7.3418 Å, c = 5.2292 Å
α = 90.00°, β = 90.00°, γ = 90.00°
Last column: nearest neighbours and their distance in Å.
Fractional positions:
Li  0.0818  0.0681  0.0000  4 O 1.99-2.09
Li  0.4182  0.5681  0.5000  4 O 1.99-2.09
Li  0.5818  0.4319  0.0000  4 O 1.99-2.09
Li  0.9182  0.9319  0.5000  4 O 1.99-2.09
B  0.0088  0.6647  0.8655  3 O 1.35-1.40
B  0.1571  0.7475  0.2425  3 O 1.36-1.40
B  0.1952  0.4411  0.0610  4 O 1.46-1.49
B  0.3048  0.9411  0.5610  4 O 1.46-1.49
B  0.3429  0.2475  0.7425  3 O 1.36-1.40
B  0.4912  0.1647  0.3655  3 O 1.35-1.40
B  0.5088  0.8353  0.8655  3 O 1.35-1.40
B  0.6571  0.7525  0.2425  3 O 1.36-1.40
B  0.6952  0.0589  0.0610  4 O 1.46-1.49
B  0.8048  0.5589  0.5610  4 O 1.46-1.49
B  0.8429  0.2525  0.7425  3 O 1.36-1.40
B  0.9912  0.3353  0.3655  3 O 1.35-1.40
O  0.0583  0.7988  0.0394  2 B 1.40
O  0.0840  0.5016  0.8625  2 B 1.35-1.46
O  0.1167  0.2925  0.2077  2 B 1.37-1.49
O  0.1595  0.8727  0.4373  2 B 1.37-1.46
O  0.2414  0.5887  0.2412  2 B 1.36-1.49
O  0.2586  0.0887  0.7412  2 B 1.36-1.49
O  0.3405  0.3727  0.9373  2 B 1.37-1.46
O  0.3833  0.7925  0.7077  2 B 1.37-1.49
O  0.4160  0.0016  0.3625  2 B 1.35-1.46
O  0.4417  0.2988  0.5394  2 B 1.40
O  0.5583  0.7012  0.0394  2 B 1.40
O  0.5840  0.9984  0.8625  2 B 1.35-1.46
O  0.6167  0.2075  0.2077  2 B 1.37-1.49
O  0.6595  0.6273  0.4373  2 B 1.37-1.46
O  0.7414  0.9113  0.2412  2 B 1.36-1.49
O  0.7586  0.4113  0.7412  2 B 1.36-1.49
O  0.8405  0.1273  0.9373  2 B 1.37-1.46
O  0.8833  0.7075  0.7077  2 B 1.37-1.49
O  0.9160  0.4984  0.3625  2 B 1.35-1.46
O  0.9417  0.2012  0.5394  2 B 1.40



No. 3
## Li3BP2O8 (SCAN)

Data for a crystal of Li3BP2O8 relaxed with PBEsol.

Magnetization = 0.0 Bohr magnetons per cell
SG = P-1 (2)
Energy relative to the elements, uncorrected = -59.728 kcal/mol of atoms
Density of states at the Fermi level = 0.000 states/eV per cell
Calculated volume = 279.0 Å³ per cell

a = 5.1629 Å, b = 7.3929 Å, c = 7.7435 Å
α = 101.00°, β = 105.58°, γ = 90.07°
Last column: nearest neighbours and their distance in Å.
Fractional positions:
Li  0.1462  0.0267  0.3933  4 O 1.90-2.10
Li  0.2249  0.3650  0.6945  4 O 1.96-2.18
Li  0.3239  0.0111  0.8516  4 O 1.87-1.97
Li  0.6761  0.9889  0.1484  4 O 1.87-1.97
Li  0.7751  0.6350  0.3055  4 O 1.96-2.18
Li  0.8538  0.9733  0.6067  4 O 1.90-2.10
B  0.2577  0.4588  0.2306  4 O 1.45-1.49
B  0.7423  0.5412  0.7694  4 O 1.45-1.49
P  0.1191  0.7532  0.0568  4 O 1.51-1.58
P  0.3669  0.7139  0.5447  4 O 1.51-1.59
P  0.6331  0.2861  0.4553  4 O 1.51-1.59
P  0.8809  0.2468  0.9432  4 O 1.51-1.58
O  0.0555  0.1905  0.8124  1 P 1.53
O  0.0566  0.3081  0.1461  1 B 1.45, 1 P 1.57
O  0.1753  0.5614  0.3906  1 B 1.49, 1 P 1.59
O  0.1961  0.8701  0.5981  1 P 1.52
O  0.2821  0.5802  0.1057  1 B 1.47, 1 P 1.58
O  0.3135  0.9066  0.0597  1 P 1.51
O  0.4022  0.2254  0.5207  1 P 1.51
O  0.4689  0.6115  0.7110  1 B 1.49, 1 P 1.59
O  0.5311  0.3885  0.2890  1 B 1.49, 1 P 1.59
O  0.5978  0.7746  0.4793  1 P 1.51
O  0.6865  0.0934  0.9403  1 P 1.51
O  0.7179  0.4198  0.8943  1 B 1.47, 1 P 1.58
O  0.8039  0.1299  0.4019  1 P 1.52
O  0.8247  0.4386  0.6094  1 B 1.49, 1 P 1.59
O  0.9434  0.6919  0.8539  1 B 1.45, 1 P 1.57
O  0.9445  0.8095  0.1876  1 P 1.53



No. 4
## Rb2Li3BP4O14 (SCAN)

Data for a crystal of Rb2Li3BP4O14 relaxed with PBEsol.

Magnetization = 0.0 Bohr magnetons per cell
SG = Cmce (64)
Energy relative to the elements, uncorrected = -59.453 kcal/mol of atoms
Density of states at the Fermi level = 0.000 states/eV per cell
Calculated volume = 1199.8 Å³ per cell

a = 13.9276 Å, b = 13.9276 Å, c = 7.0619 Å
α = 90.00°, β = 90.00°, γ = 61.14°
Last column: nearest neighbours and their distance in Å.
Fractional positions:
Rb  0.0949  0.4051  0.7500  7 O 2.86-2.95
Rb  0.1127  0.8873  0.7988  7 O 2.82-3.15
Rb  0.3873  0.6127  0.2988  7 O 2.82-3.15
Rb  0.4051  0.0949  0.2500  7 O 2.86-2.95
Rb  0.5949  0.9051  0.7500  7 O 2.86-2.95
Rb  0.6127  0.3873  0.7012  7 O 2.82-3.15
Rb  0.8873  0.1127  0.2012  7 O 2.82-3.15
Rb  0.9051  0.5949  0.2500  7 O 2.86-2.95
Li  0.1014  0.6310  0.0235  4 O 1.94-2.05
Li  0.1186  0.1186  0.0000  4 O 1.97-2.10
Li  0.1310  0.6014  0.5235  4 O 1.94-2.05
Li  0.3690  0.8986  0.0235  4 O 1.94-2.05
Li  0.3814  0.3814  0.5000  4 O 1.97-2.10
Li  0.3986  0.8690  0.5235  4 O 1.94-2.05
Li  0.6014  0.1310  0.4765  4 O 1.94-2.05
Li  0.6186  0.6186  0.5000  4 O 1.97-2.10
Li  0.6310  0.1014  0.9765  4 O 1.94-2.05
Li  0.8690  0.3986  0.4765  4 O 1.94-2.05
Li  0.8814  0.8814  0.0000  4 O 1.97-2.10
Li  0.8986  0.3690  0.9765  4 O 1.94-2.05
B  0.1192  0.1192  0.5000  4 O 1.47-1.48
B  0.3808  0.3808  0.0000  4 O 1.47-1.48
B  0.6192  0.6192  0.0000  4 O 1.47-1.48
B  0.8808  0.8808  0.5000  4 O 1.47-1.48
P  0.0734  0.8011  0.3010  4 O 1.50-1.63
P  0.0923  0.2854  0.2591  4 O 1.50-1.63
P  0.1989  0.9266  0.3010  4 O 1.50-1.63
P  0.2146  0.4077  0.2409  4 O 1.50-1.63
P  0.2854  0.0923  0.7409  4 O 1.50-1.63
P  0.3011  0.5734  0.8010  4 O 1.50-1.63
P  0.4077  0.2146  0.7591  4 O 1.50-1.63
P  0.4266  0.6989  0.8010  4 O 1.50-1.63
P  0.5734  0.3011  0.1990  4 O 1.50-1.63
P  0.5923  0.7854  0.2409  4 O 1.50-1.63
P  0.6989  0.4266  0.1990  4 O 1.50-1.63
P  0.7146  0.9077  0.2591  4 O 1.50-1.63
P  0.7854  0.5923  0.7591  4 O 1.50-1.63
P  0.8011  0.0734  0.6990  4 O 1.50-1.63
P  0.9077  0.7146  0.7409  4 O 1.50-1.63
P  0.9266  0.1989  0.6990  4 O 1.50-1.63
O  0.0009  0.8332  0.4853  1 B 1.48, 1 P 1.57
O  0.0122  0.8668  0.1318  1 P 1.50
O  0.0146  0.3684  0.3976  1 P 1.50
O  0.0535  0.2867  0.0586  1 P 1.51
O  0.1316  0.4854  0.1024  1 P 1.50
O  0.1332  0.9878  0.1318  1 P 1.50
O  0.1336  0.6776  0.2805  1 P 1.51
O  0.1449  0.1627  0.3295  1 B 1.47, 1 P 1.58
O  0.1627  0.1449  0.6705  1 B 1.47, 1 P 1.58
O  0.1668  0.9991  0.4853  1 B 1.48, 1 P 1.57
O  0.1676  0.8324  0.3642  2 P 1.63
O  0.1776  0.6336  0.7805  1 P 1.51
O  0.2029  0.2971  0.2500  2 P 1.63
O  0.2133  0.4465  0.4414  1 P 1.51
O  0.2867  0.0535  0.9414  1 P 1.51
O  0.2971  0.2029  0.7500  2 P 1.63
O  0.3224  0.8664  0.2805  1 P 1.51
O  0.3324  0.6676  0.8642  2 P 1.63
O  0.3332  0.5009  0.9853  1 B 1.48, 1 P 1.57
O  0.3373  0.3551  0.1705  1 B 1.47, 1 P 1.58
O  0.3551  0.3373  0.8295  1 B 1.47, 1 P 1.58
O  0.3664  0.8224  0.7805  1 P 1.51
O  0.3668  0.5122  0.6318  1 P 1.50
O  0.3684  0.0146  0.6024  1 P 1.50
O  0.4465  0.2133  0.5586  1 P 1.51
O  0.4854  0.1316  0.8976  1 P 1.50
O  0.4878  0.6332  0.6318  1 P 1.50
O  0.4991  0.6668  0.9853  1 B 1.48, 1 P 1.57
O  0.5009  0.3332  0.0147  1 B 1.48, 1 P 1.57
O  0.5122  0.3668  0.3682  1 P 1.50
O  0.5146  0.8684  0.1024  1 P 1.50
O  0.5535  0.7867  0.4414  1 P 1.51
O  0.6316  0.9854  0.3976  1 P 1.50
O  0.6332  0.4878  0.3682  1 P 1.50
O  0.6336  0.1776  0.2195  1 P 1.51
O  0.6449  0.6627  0.1705  1 B 1.47, 1 P 1.58
O  0.6627  0.6449  0.8295  1 B 1.47, 1 P 1.58
O  0.6668  0.4991  0.0147  1 B 1.48, 1 P 1.57
O  0.6676  0.3324  0.1358  2 P 1.63
O  0.6776  0.1336  0.7195  1 P 1.51
O  0.7029  0.7971  0.2500  2 P 1.63
O  0.7133  0.9465  0.0586  1 P 1.51
O  0.7867  0.5535  0.5586  1 P 1.51
O  0.7971  0.7029  0.7500  2 P 1.63
O  0.8224  0.3664  0.2195  1 P 1.51
O  0.8324  0.1676  0.6358  2 P 1.63
O  0.8332  0.0009  0.5147  1 B 1.48, 1 P 1.57
O  0.8373  0.8551  0.3295  1 B 1.47, 1 P 1.58
O  0.8551  0.8373  0.6705  1 B 1.47, 1 P 1.58
O  0.8664  0.3224  0.7195  1 P 1.51
O  0.8668  0.0122  0.8682  1 P 1.50
O  0.8684  0.5146  0.8976  1 P 1.50
O  0.9465  0.7133  0.9414  1 P 1.51
O  0.9854  0.6316  0.6024  1 P 1.50
O  0.9878  0.1332  0.8682  1 P 1.50
O  0.9991  0.1668  0.5147  1 B 1.48, 1 P 1.57